<one>
First-principles (PBE) data for a geometry-optimized Hf2TiCdH structure, as listed in Alexandria via LeMat-Bulk.

CIF file:
```
data_Hf2TiCdH
_chemical_formula_sum 'Hf2 Ti1 Cd1 H1'
_cell_length_a 4.3147
_cell_length_b 4.3147
_cell_length_c 4.4780
_cell_angle_alpha 90.00
_cell_angle_beta 90.00
_cell_angle_gamma 90.00
_space_group_name_H-M_alt 'P 4/m m m'
_space_group_IT_number 123
_space_group_name_Hall '-P 4 2'
loop_
_atom_site_label
_atom_site_type_symbol
_atom_site_fract_x
_atom_site_fract_y
_atom_site_fract_z
_atom_site_occupancy
Hf1 Hf 0.0000 0.5000 0.0000 1
Ti1 Ti 0.0000 0.0000 0.5000 1
Cd1 Cd 0.5000 0.5000 0.5000 1
H1 H 0.5000 0.5000 0.0000 1
```

<two>
First-principles (PBE) data for a geometry-optimized Hf2TiCdH structure, as listed in Alexandria via LeMat-Bulk.

CIF file:
```
data_Hf2TiCdH
_chemical_formula_sum 'Hf2 Ti1 Cd1 H1'
_cell_length_a 4.3819
_cell_length_b 4.3819
_cell_length_c 4.2717
_cell_angle_alpha 90.00
_cell_angle_beta 90.00
_cell_angle_gamma 90.00
_space_group_name_H-M_alt 'P 4/m m m'
_space_group_IT_number 123
_space_group_name_Hall '-P 4 2'
loop_
_atom_site_label
_atom_site_type_symbol
_atom_site_fract_x
_atom_site_fract_y
_atom_site_fract_z
_atom_site_occupancy
Hf1 Hf 0.0000 0.5000 0.0000 1
Ti1 Ti 0.0000 0.0000 0.5000 1
Cd1 Cd 0.5000 0.5000 0.5000 1
H1 H 0.0000 0.0000 0.0000 1
```

Taking the most stable structure as the zero point, the relative energies in meV per atom are <one> 139; <two> 0.

<one>
First-principles (PBE) data for a geometry-optimized Hf2ZrCdH structure, as listed in Alexandria via LeMat-Bulk.

CIF file:
```
data_Hf2ZrCdH
_chemical_formula_sum 'Hf2 Zr1 Cd1 H1'
_cell_length_a 4.3792
_cell_length_b 4.3792
_cell_length_c 4.6379
_cell_angle_alpha 90.00
_cell_angle_beta 90.00
_cell_angle_gamma 90.00
_space_group_name_H-M_alt 'P 4/m m m'
_space_group_IT_number 123
_space_group_name_Hall '-P 4 2'
loop_
_atom_site_label
_atom_site_type_symbol
_atom_site_fract_x
_atom_site_fract_y
_atom_site_fract_z
_atom_site_occupancy
Hf1 Hf 0.0000 0.5000 0.0000 1
Zr1 Zr 0.0000 0.0000 0.5000 1
Cd1 Cd 0.5000 0.5000 0.5000 1
H1 H 0.5000 0.5000 0.0000 1
```

<two>
First-principles (PBE) data for a geometry-optimized Hf2ZrCdH structure, as listed in Alexandria via LeMat-Bulk.

CIF file:
```
data_Hf2ZrCdH
_chemical_formula_sum 'Hf2 Zr1 Cd1 H1'
_cell_length_a 4.4400
_cell_length_b 4.4400
_cell_length_c 4.4622
_cell_angle_alpha 90.00
_cell_angle_beta 90.00
_cell_angle_gamma 90.00
_space_group_name_H-M_alt 'P 4/m m m'
_space_group_IT_number 123
_space_group_name_Hall '-P 4 2'
loop_
_atom_site_label
_atom_site_type_symbol
_atom_site_fract_x
_atom_site_fract_y
_atom_site_fract_z
_atom_site_occupancy
Hf1 Hf 0.0000 0.5000 0.0000 1
Zr1 Zr 0.0000 0.0000 0.5000 1
Cd1 Cd 0.5000 0.5000 0.5000 1
H1 H 0.0000 0.0000 0.0000 1
```

Taking the most stable structure as the zero point, the relative energies in meV per atom are <one> 119; <two> 0.